Material: RbLa2BBr
Method: DFT, PBE
State: optimized geometry

a b c (Å): 5.917 5.600 5.917
angles (deg): 90.00 90.00 90.00
Site moments in Bohr magnetons follow the coordinates.
Atoms (fractional coordinates):
B  0.500  0.500  0.500  0.23
Br  0.000  0.500  0.000  0.04
Rb  0.000  0.000  0.000  0.02
La  0.000  0.000  0.500  0.13
La  0.500  0.000  0.000  0.07

Calculated density = 3.8 Mg/m³
Raw formation energy = 1589.3 meV/atom